This record from Alexandria describes crystalline K3NiB at its relaxed geometry. The functional is PBE.

Results
- Energy above the lowest structure with this stoichiometry: 0.00 kJ/mol of atoms
- Total DFT energy (no corrections): -1.83 eV per atom
- Energy relative to the elements: 1.320 eV/atom
- Density of states at the Fermi level: 35.43 states/eV/f.u.
- Crystal system: cubic

```
5
Lattice="5.8189 0.0000 0.0000 0.0000 5.8189 0.0000 0.0000 0.0000 5.8189" Properties=species:S:1:pos:R:3 pbc="T T T"
K 0.0000 0.0000 2.9094
K 0.0000 2.9094 0.0000
K 2.9094 0.0000 0.0000
Ni 2.9094 2.9094 2.9094
B 0.0000 0.0000 0.0000
```